# Ca4Pa3AlP8 PBE optimized geometry
data_Ca4Pa3AlP8
_chemical_formula_sum 'Ca12 Pa9 Al3 P24'
_cell_length_a 8.0210
_cell_length_b 8.0210
_cell_length_c 19.7807
_cell_angle_alpha 90.00
_cell_angle_beta 90.00
_cell_angle_gamma 120.00
_space_group_name_H-M_alt 'R -3 m'
_space_group_IT_number 166
_space_group_name_Hall '-R 3 2"'
loop_
_atom_site_label
_atom_site_fract_x
_atom_site_fract_y
_atom_site_fract_z
_atom_site_occupancy
Ca1 0.0000 0.0000 0.0000 1
Ca2 0.0000 0.5000 0.0000 1
Pa1 0.0000 0.5000 0.5000 1
Al1 0.0000 0.0000 0.5000 1
P1 0.0000 0.0000 0.2443 1
P2 0.0081 0.5040 0.2408 1
# DOS at the Fermi energy, states/eV/f.u.: 10.506
# ΔH_f (0 K), meV/atom: -1078.9
# Total magnetization, μB per atom: 0.000
# Calculated volume, Å³ per cell: 1102.1